# PBE with a Hubbard U RbVSbO6, relaxed
data_RbVSbO6
_cell_length_a 5.3313
_cell_length_b 5.3313
_cell_length_c 6.2202
_cell_angle_alpha 90.00
_cell_angle_beta 90.00
_cell_angle_gamma 120.00
_space_group_name_H-M_alt 'P 3 1 2'
_space_group_IT_number 149
loop_
_space_group_symop_operation_xyz
'x,y,z'
'-y,x-y,z'
'-x+y,-x,z'
'-y,-x,-z'
'-x+y,y,-z'
'x,x-y,-z'
loop_
_atom_site_label
_atom_site_type_symbol
_atom_site_fract_x
_atom_site_fract_y
_atom_site_fract_z
Rb1 Rb 0.0000 0.0000 0.0000
V1 V 0.6667 0.3333 0.5000
Sb1 Sb 0.3333 0.6667 0.5000
O1 O 0.4084 0.0147 0.3254
# DFT total energy, eV/atom: -6.15